Entry 1:
Density functional theory data (PBE) for crystalline ZnNi2Cl at its relaxed geometry.

POSCAR file:
```
ZnNi2Cl
1.0
7.499 -0.003 -0.002
6.924 2.880 -0.002
6.924 1.381 2.527
Cl Zn Ni
1 1 2
direct
0.750 0.750 0.750
0.250 0.250 0.250
0.499 0.499 0.499
0.001 0.001 0.001
```

Results
The crystal system is trigonal. The calculation puts the density of states at the Fermi level at 1.132 states/eV per atom.

***

Entry 2:
Density functional theory data (PBE) for crystalline ZnNiCl2 at its relaxed geometry.

POSCAR file:
```
ZnNiCl2
1.0
3.067 0.000 0.000
0.000 3.067 0.000
0.000 0.000 8.668
Cl Ni Zn
2 1 1
direct
0.000 0.000 0.079
0.000 0.000 0.421
0.500 0.500 0.250
0.500 0.500 0.750
```

Results
The crystal system is tetragonal. The calculation puts the density of states at the Fermi level at 0.780 states/eV per atom.

***

Entry 3:
Density functional theory data (PBE) for crystalline ZnNiCl2 at its relaxed geometry.

POSCAR file:
```
ZnNiCl2
1.0
-2.953 -1.597 0.406
2.281 -4.995 -3.056
3.086 -5.258 1.763
Cl Zn Ni
2 1 1
direct
0.000 0.116 0.115
0.000 0.384 0.385
0.500 0.750 0.750
0.500 0.250 0.250
```

Results
The crystal system is monoclinic. The calculation puts the density of states at the Fermi level at 0.414 states/eV per atom.

***

Entry 4:
Density functional theory data (PBE) for crystalline ZnNi2Cl at its relaxed geometry.

POSCAR file:
```
ZnNi2Cl
1.0
3.021 0.000 0.000
0.000 3.057 -0.260
0.000 0.564 6.446
Zn Ni Cl
1 2 1
direct
0.000 0.749 0.440
0.500 0.250 0.236
0.000 0.752 0.049
0.500 0.749 0.775
```

Results
The crystal system is monoclinic. The calculation puts the density of states at the Fermi level at 0.685 states/eV per atom.

***

Entry 5:
Density functional theory data (PBE) for crystalline ZnNiCl2 at its relaxed geometry.

POSCAR file:
```
ZnNiCl2
1.0
0.000 3.213 3.213
3.213 0.000 3.213
3.213 3.213 0.000
Cl Ni Zn
2 1 1
direct
0.750 0.750 0.750
0.250 0.250 0.250
0.000 0.000 0.000
0.500 0.500 0.500
```

Results
The crystal system is cubic. The calculation puts the density of states at the Fermi level at 0.930 states/eV per atom.

***

Entry 6:
Density functional theory data (PBE) for crystalline ZnNiCl3 at its relaxed geometry.

POSCAR file:
```
ZnNiCl3
1.0
-2.325 1.501 3.729
-1.723 -4.264 0.642
3.632 -1.062 2.692
Cl Zn Ni
3 1 1
direct
0.000 0.500 0.000
0.500 0.000 0.000
0.000 0.000 0.500
0.500 0.500 0.500
0.000 0.000 0.000
```

Results
The crystal system is cubic. The calculation puts the density of states at the Fermi level at 0.534 states/eV per atom.

***

Entry 7:
Density functional theory data (PBE) for crystalline ZnNi2Cl at its relaxed geometry.

POSCAR file:
```
ZnNi2Cl
1.0
-3.695 3.765 0.614
-5.043 -0.826 1.448
5.000 -1.231 1.302
Zn Ni Cl
1 2 1
direct
0.500 0.500 0.000
0.000 0.000 0.000
0.250 0.750 0.500
0.750 0.250 0.500
```

Results
The crystal system is tetragonal. The calculation puts the density of states at the Fermi level at 1.042 states/eV per atom.

***

Entry 8:
Density functional theory data (PBE) for crystalline ZnNiCl2 at its relaxed geometry.

POSCAR file:
```
ZnNiCl2
1.0
-0.104 -5.325 4.342
-1.854 -6.364 1.814
3.483 -2.702 -1.302
Ni Cl Zn
1 2 1
direct
0.595 0.595 0.186
0.002 0.002 0.040
0.746 0.746 0.755
0.157 0.157 0.518
```

Results
The crystal system is monoclinic. The calculation puts the density of states at the Fermi level at 0.985 states/eV per atom.

***

Entry 9:
Density functional theory data (PBE) for crystalline ZnNiCl2 at its relaxed geometry.

POSCAR file:
```
ZnNiCl2
1.0
-3.367 0.139 -0.662
-1.161 -0.576 -3.181
-2.051 -8.957 0.749
Ni Zn Cl
1 1 2
direct
0.750 0.750 0.750
0.250 0.250 0.250
0.040 0.040 0.898
0.460 0.460 0.602
```

Results
The crystal system is monoclinic. The calculation puts the density of states at the Fermi level at 0.424 states/eV per atom.

***

Entry 10:
Density functional theory data (PBE) for crystalline ZnNiCl2 at its relaxed geometry.

POSCAR file:
```
ZnNiCl2
1.0
4.614 0.000 0.000
2.307 3.995 0.000
2.307 1.332 3.767
Cl Ni Zn
2 1 1
direct
0.250 0.250 0.250
0.000 0.000 0.000
0.500 0.500 0.500
0.750 0.750 0.750
```

Results
The crystal system is cubic. The calculation puts the density of states at the Fermi level at 1.877 states/eV per atom.

***

Entry 11:
Density functional theory data (PBE) for crystalline ZnNiCl2 at its relaxed geometry.

POSCAR file:
```
ZnNiCl2
1.0
-2.206 1.132 2.306
-4.492 0.317 -4.453
-0.973 -3.405 0.740
Zn Cl Ni
1 2 1
direct
0.000 0.500 0.500
0.000 0.000 0.000
0.500 0.500 0.000
0.500 0.000 0.500
```

Results
The crystal system is orthorhombic. The calculation puts the density of states at the Fermi level at 0.665 states/eV per atom.

***

Entry 12:
Density functional theory data (PBE) for crystalline ZnNiCl2 at its relaxed geometry.

POSCAR file:
```
ZnNiCl2
1.0
-0.815 -0.359 3.244
-2.735 -1.750 -0.881
3.687 -5.901 0.274
Zn Cl Ni
1 2 1
direct
0.500 0.500 0.692
0.000 0.000 0.886
0.500 0.500 0.350
0.000 0.000 0.571
```

Results
The crystal system is tetragonal.

***

The records above yield energy relative to the elements, uncorrected values of 0.139; 0.113; -0.279; 0.002; 0.167; -0.245; 0.335; -0.328; -0.240; 0.406; -0.009; -0.230 eV per atom, respectively.
The records above yield energy above the most stable polymorph in this dataset values of 18.5; 45.8; 8.0; 5.2; 51.1; 0.0; 37.3; 3.3; 11.8; 74.2; 34.1; 12.7 kJ/mol of atoms, respectively.
The records above yield raw total energy values of -3.53; -2.57; -2.97; -3.67; -2.52; -2.76; -3.34; -3.02; -2.93; -2.28; -2.70; -2.92 eV/atom, respectively.